(1)
Below is crystalline CsHgAs at its relaxed geometry, with properties calculated at the PBE level.

ΔH_f (0 K), eV/atom: -0.27
E_tot, Ha/atom: -0.0809

abc: 14.496 4.110 8.108
angles: 90.00 93.30 90.00
Fractional positions:
Cs: 0.000 0.000 0.000
Cs: 0.201 0.500 0.578
Cs: 0.500 0.500 0.000
Cs: 0.701 0.000 0.578
Hg: 0.353 0.000 0.288
Hg: 0.475 0.500 0.512
Hg: 0.853 0.500 0.288
Hg: 0.975 0.000 0.512
As: 0.214 0.500 0.076
As: 0.278 0.000 0.936
As: 0.714 0.000 0.076
As: 0.778 0.500 0.936


(2)
Below is crystalline CaCeY2Bi4 at its relaxed geometry, with properties calculated at the PBE level.

ΔH_f (0 K), eV/atom: -0.83
E_tot, Ha/atom: -0.1977

abc: 7.827 4.543 7.883
angles: 90.00 109.21 90.00
Fractional positions:
Ca: 0.000 0.000 0.000
Ce: 0.500 0.500 0.000
Y: 0.000 0.500 0.500
Y: 0.500 0.000 0.500
Bi: 0.250 0.000 0.746
Bi: 0.255 0.500 0.255
Bi: 0.745 0.500 0.745
Bi: 0.750 0.000 0.254


(3)
Below is crystalline CsTeRuO6 at its relaxed geometry, with properties calculated at the PBE level.

Uncorrected formation energy, meV/atom: -1134
E_tot, Ha/atom: -0.2173

abc: 5.293 5.293 6.856
angles: 90.00 90.00 120.00
Fractional positions:
Cs: 0.000 0.000 0.000
Te: 0.667 0.333 0.500
Ru: 0.333 0.667 0.500
O: 0.386 0.001 0.661
O: 0.386 0.385 0.339
O: 0.615 0.001 0.339
O: 0.615 0.614 0.661
O: 0.999 0.385 0.661
O: 0.999 0.614 0.339


(4)
Below is crystalline KLa3S at its relaxed geometry, with properties calculated at the PBE level.

Uncorrected formation energy, meV/atom: 958
E_tot, Ha/atom: -0.1118
Distance to the lowest polymorph of the same formula, meV per atom: 1465.6

abc: 5.513 5.513 5.513
angles: 90.00 90.00 90.00
Fractional positions:
K: 0.000 0.000 0.000
La: 0.000 0.000 0.500
La: 0.000 0.500 0.000
La: 0.500 0.000 0.000
S: 0.500 0.500 0.500


no.,magnetic moment (μB per formula unit)
1,0.00
2,0.34
3,2.75
4,0.00